(1)
Density functional theory data (PBE) for an optimized crystal structure of BaNiAu2.

Geometry as extended XYZ:
```
4
Lattice="2.923 -3.495 0.000 2.923 3.495 0.000 -0.011 0.000 4.470" Properties=species:S:1:pos:R:3 pbc="T T T"
Ba 0.000 0.000 0.000
Ni 2.923 0.000 0.000
Au 1.456 1.748 2.235
Au 1.456 -1.748 2.235
```

Results
Its density is 10.7 g/cm³. The formation enthalpy at 0 K is 59 meV per atom. For the energy, the calculation gives -3.506 eV/atom. The crystal system is monoclinic.

***

(2)
Density functional theory data (PBE) for an optimized crystal structure of BaNiAu11.

Geometry as extended XYZ:
```
13
Lattice="2.803 -6.608 0.000 2.803 6.608 0.000 -2.754 0.000 6.968" Properties=species:S:1:pos:R:3 pbc="T T T"
Ba 0.000 0.000 0.000
Ni -1.377 0.000 3.484
Au 1.401 3.304 0.000
Au 0.168 4.337 4.475
Au -0.003 1.448 5.363
Au 2.684 4.337 2.493
Au -0.003 -1.448 5.363
Au 1.401 -3.304 0.000
Au 1.426 0.000 3.484
Au 2.856 1.448 1.605
Au 0.168 -4.337 4.475
Au 2.856 -1.448 1.605
Au 2.684 -4.337 2.493
```

Results
Its density is 15.2 g/cm³. The formation enthalpy at 0 K is -171 meV per atom. For the energy, the calculation gives -3.537 eV/atom. The crystal system is monoclinic.

***

(3)
Density functional theory data (PBE) for an optimized crystal structure of BaNiAu3.

Geometry as extended XYZ:
```
5
Lattice="4.983 0.000 0.000 0.000 4.983 0.000 0.000 0.000 4.983" Properties=species:S:1:pos:R:3 pbc="T T T"
Ba 0.000 0.000 0.000
Ni 2.491 2.491 2.491
Au 0.000 2.491 2.491
Au 2.491 0.000 2.491
Au 2.491 2.491 0.000
```

Results
Its density is 10.6 g/cm³. The formation enthalpy at 0 K is -284 meV per atom. For the energy, the calculation gives -3.791 eV/atom. The crystal system is cubic.

***

(4)
Density functional theory data (PBE) for an optimized crystal structure of Ba6NiAu3.

Geometry as extended XYZ:
```
20
Lattice="7.956 0.000 0.000 0.000 8.701 0.000 -7.800 0.000 11.863" Properties=species:S:1:pos:R:3 pbc="T T T"
Ba -1.191 0.434 2.880
Ba -5.091 3.917 8.812
Ba 1.349 5.997 0.899
Ba -2.551 7.054 6.830
Ba 2.506 1.512 0.837
Ba -1.394 2.839 6.769
Ba 1.550 5.863 5.095
Ba -2.350 7.189 11.026
Ba 2.707 1.647 5.033
Ba -1.193 2.704 10.964
Ba 5.246 4.784 3.051
Ba 1.346 8.267 8.983
Ni 0.000 0.000 0.000
Ni -3.900 4.351 5.932
Au -3.452 0.950 8.940
Au 0.448 3.400 3.009
Au 0.078 0.000 5.932
Au 3.978 4.351 0.000
Au -0.292 5.301 8.855
Au 3.608 7.751 2.923
```

Results
Its density is 6.0 g/cm³. The formation enthalpy at 0 K is -424 meV per atom. For the energy, the calculation gives -3.139 eV/atom. The crystal system is monoclinic.

***

(5)
Density functional theory data (PBE) for an optimized crystal structure of BaNiAu2.

Geometry as extended XYZ:
```
4
Lattice="-2.116 2.116 4.954 2.116 -2.116 4.954 2.116 2.116 -4.954" Properties=species:S:1:pos:R:3 pbc="T T T"
Ba 0.000 0.000 0.000
Ni 0.000 0.000 4.954
Au 2.116 0.000 2.477
Au 0.000 2.116 2.477
```

Results
Its density is 11.0 g/cm³. The formation enthalpy at 0 K is 55 meV per atom. For the energy, the calculation gives -3.509 eV/atom. The crystal system is tetragonal.

***

(6)
Density functional theory data (PBE) for an optimized crystal structure of Ba6NiAu.

Geometry as extended XYZ:
```
16
Lattice="7.913 0.000 0.000 -3.956 6.853 0.000 0.000 0.000 15.131" Properties=species:S:1:pos:R:3 pbc="T T T"
Ba -1.258 2.209 1.835
Ba -2.673 4.658 5.731
Ba 1.258 2.209 5.731
Ba -1.414 6.838 1.835
Ba 2.542 0.015 9.400
Ba 1.284 2.194 13.297
Ba 2.673 4.658 1.835
Ba 1.414 6.838 5.731
Ba 5.371 0.015 13.297
Ba 2.698 4.644 9.400
Ba 6.629 2.194 9.400
Ba 5.215 4.644 13.297
Ni 0.000 0.000 0.000
Ni 0.000 0.000 7.566
Au 0.000 4.569 3.783
Au 3.956 2.284 11.349
```

Results
Its density is 4.4 g/cm³. The formation enthalpy at 0 K is -198 meV per atom. For the energy, the calculation gives -2.772 eV/atom. The crystal system is trigonal.

***

(7)
Density functional theory data (PBE) for an optimized crystal structure of Ba8Ni2Au.

Geometry as extended XYZ:
```
11
Lattice="6.763 0.000 0.000 0.294 9.090 0.000 0.294 2.247 8.809" Properties=species:S:1:pos:R:3 pbc="T T T"
Ba 1.767 3.643 2.833
Ba 2.198 10.139 7.875
Ba 2.125 5.374 7.376
Ba 2.126 8.473 3.378
Ba 5.224 2.864 5.431
Ba 5.225 5.964 1.433
Ba 5.153 1.199 0.933
Ba 5.584 7.695 5.976
Ni 1.767 1.255 0.969
Ni 5.583 10.083 7.840
Au 3.675 5.669 4.404
```

Results
Its density is 4.3 g/cm³. The formation enthalpy at 0 K is -89 meV per atom. For the energy, the calculation gives -2.836 eV/atom. The crystal system is triclinic.

***

(8)
Density functional theory data (PBE) for an optimized crystal structure of Ba2Ni2Au.

Geometry as extended XYZ:
```
10
Lattice="7.641 0.000 0.000 0.000 7.641 0.000 0.000 0.000 4.398" Properties=species:S:1:pos:R:3 pbc="T T T"
Ba 1.427 2.394 0.000
Ba 2.394 6.214 0.000
Ba 5.248 1.427 0.000
Ba 6.214 5.248 0.000
Ni 0.823 4.644 2.199
Ni 2.998 0.823 2.199
Ni 4.644 6.818 2.199
Ni 6.818 2.998 2.199
Au 0.000 0.000 2.199
Au 3.821 3.821 2.199
```

Results
Its density is 7.6 g/cm³. The distance to the lowest polymorph of the same formula comes out at 0.00 kJ per mole of atoms. The formation enthalpy at 0 K is -51 meV per atom. For the energy, the calculation gives -3.788 eV/atom. The crystal system is tetragonal.

***

(9)
Density functional theory data (PBE) for an optimized crystal structure of BaNiAu2.

Geometry as extended XYZ:
```
4
Lattice="4.950 0.000 0.000 0.000 4.282 0.000 -1.786 0.000 4.639" Properties=species:S:1:pos:R:3 pbc="T T T"
Ba 0.000 0.000 0.000
Ni 1.582 0.000 2.319
Au 0.415 2.141 3.138
Au 2.749 2.141 1.501
```

Results
Its density is 10.0 g/cm³. The formation enthalpy at 0 K is -184 meV per atom. For the energy, the calculation gives -3.748 eV/atom. The crystal system is monoclinic.

***

(10)
Density functional theory data (PBE) for an optimized crystal structure of BaNiAu4.

Geometry as extended XYZ:
```
6
Lattice="0.000 4.020 4.020 4.020 0.000 4.020 4.020 4.020 0.000" Properties=species:S:1:pos:R:3 pbc="T T T"
Ba 0.000 0.000 0.000
Ni 6.030 6.030 6.030
Au 3.024 3.024 3.024
Au 5.017 5.017 3.024
Au 5.017 3.024 5.017
Au 3.024 5.017 5.017
```

Results
Its density is 12.6 g/cm³. The formation enthalpy at 0 K is -89 meV per atom. For the energy, the calculation gives -3.558 eV/atom. The crystal system is cubic.

***

(11)
Density functional theory data (PBE) for an optimized crystal structure of BaNiAu.

Geometry as extended XYZ:
```
3
Lattice="0.000 3.430 3.430 3.430 0.000 3.430 3.430 3.430 0.000" Properties=species:S:1:pos:R:3 pbc="T T T"
Ba 0.000 0.000 0.000
Ni 1.715 1.715 1.715
Au 3.430 3.430 3.430
```

Results
Its density is 8.1 g/cm³. The formation enthalpy at 0 K is 5 meV per atom. For the energy, the calculation gives -3.656 eV/atom. The crystal system is cubic.

***

(12)
Density functional theory data (PBE) for an optimized crystal structure of Ba2NiAu2.

Geometry as extended XYZ:
```
10
Lattice="8.036 0.000 0.000 0.000 8.036 0.000 0.000 0.000 4.600" Properties=species:S:1:pos:R:3 pbc="T T T"
Ba 1.426 2.592 0.000
Ba 2.592 6.610 0.000
Ba 5.444 1.426 0.000
Ba 6.610 5.444 0.000
Ni 0.000 0.000 2.300
Ni 4.018 4.018 2.300
Au 1.045 5.063 2.300
Au 2.973 1.045 2.300
Au 5.063 6.991 2.300
Au 6.991 2.973 2.300
```

Results
Its density is 8.1 g/cm³. The formation enthalpy at 0 K is -249 meV per atom. For the energy, the calculation gives -3.485 eV/atom. The crystal system is tetragonal.

***

(13)
Density functional theory data (PBE) for an optimized crystal structure of Ba8NiAu2.

Geometry as extended XYZ:
```
11
Lattice="7.604 -4.685 0.000 7.604 4.685 0.000 -0.157 0.000 7.939" Properties=species:S:1:pos:R:3 pbc="T T T"
Ba 5.744 2.455 1.266
Ba 1.782 0.000 2.509
Ba 9.306 2.455 6.673
Ba 5.544 0.000 5.251
Ba 9.506 0.000 2.688
Ba 5.744 -2.455 1.266
Ba 13.268 0.000 5.430
Ba 9.306 -2.455 6.673
Ni 0.000 0.000 0.000
Au 3.929 0.000 0.016
Au 11.122 0.000 7.924
```

Results
Its density is 4.6 g/cm³. The formation enthalpy at 0 K is -258 meV per atom. For the energy, the calculation gives -2.778 eV/atom. The crystal system is monoclinic.

***

(14)
Density functional theory data (PBE) for an optimized crystal structure of BaNiAu.

Geometry as extended XYZ:
```
12
Lattice="6.830 0.000 0.000 0.000 6.830 0.000 0.000 0.000 6.830" Properties=species:S:1:pos:R:3 pbc="T T T"
Ba 1.021 1.021 1.021
Ba 2.394 5.809 4.436
Ba 4.436 2.394 5.809
Ba 5.809 4.436 2.394
Ni 0.515 3.930 6.315
Ni 2.900 2.900 2.900
Ni 3.930 6.315 0.515
Ni 6.315 0.515 3.930
Au 1.131 2.284 4.547
Au 2.284 4.547 1.131
Au 4.547 1.131 2.284
Au 5.699 5.699 5.699
```

Results
Its density is 8.2 g/cm³. The formation enthalpy at 0 K is -252 meV per atom. For the energy, the calculation gives -3.913 eV/atom. The crystal system is cubic.

***

(15)
Density functional theory data (PBE) for an optimized crystal structure of BaNiAu2.

Geometry as extended XYZ:
```
4
Lattice="3.605 0.000 0.000 0.000 3.605 0.000 0.000 0.000 7.158" Properties=species:S:1:pos:R:3 pbc="T T T"
Ba 0.000 0.000 0.000
Ni 1.803 1.803 2.502
Au 0.000 0.000 3.202
Au 1.803 1.803 5.080
```

Results
Its density is 10.5 g/cm³. The formation enthalpy at 0 K is -45 meV per atom. For the energy, the calculation gives -3.610 eV/atom. The crystal system is tetragonal.

***

(16)
Density functional theory data (PBE) for an optimized crystal structure of Ba2Ni2Au.

Geometry as extended XYZ:
```
5
Lattice="-3.000 3.000 3.783 3.000 -3.000 3.783 3.000 3.000 -3.783" Properties=species:S:1:pos:R:3 pbc="T T T"
Ba 3.000 0.000 1.891
Ba 0.000 3.000 1.891
Ni 0.000 0.000 1.183
Ni 0.000 0.000 6.383
Au 0.000 0.000 3.783
```

Results
Its density is 7.2 g/cm³. The distance to the lowest polymorph of the same formula comes out at 1.26 kJ per mole of atoms. The formation enthalpy at 0 K is -38 meV per atom. For the energy, the calculation gives -3.775 eV/atom. The crystal system is tetragonal.

***

(17)
Density functional theory data (PBE) for an optimized crystal structure of Ba3NiAu.

Geometry as extended XYZ:
```
10
Lattice="9.648 -2.171 0.000 9.648 2.171 0.000 -1.962 0.000 9.829" Properties=species:S:1:pos:R:3 pbc="T T T"
Ba 0.000 0.000 0.000
Ba 2.456 0.000 3.503
Ba 5.140 0.000 6.773
Ba 9.419 0.000 5.949
Ba 12.110 0.000 9.218
Ba 16.529 0.000 2.895
Ni 2.146 0.000 6.618
Ni 12.409 0.000 6.099
Au 7.016 0.000 0.313
Au 9.513 0.000 2.582
```

Results
Its density is 5.4 g/cm³. The distance to the lowest polymorph of the same formula comes out at 0.00 kJ per mole of atoms. The formation enthalpy at 0 K is -303 meV per atom. For the energy, the calculation gives -3.268 eV/atom. The crystal system is monoclinic.

***

(18)
Density functional theory data (PBE) for an optimized crystal structure of BaNiAu2.

Geometry as extended XYZ:
```
4
Lattice="4.627 0.000 0.000 0.000 4.599 0.000 -0.065 0.000 5.130" Properties=species:S:1:pos:R:3 pbc="T T T"
Ba 0.000 0.000 0.000
Ni 2.204 2.300 3.728
Au 2.264 0.000 2.714
Au 2.332 2.300 1.101
```

Results
Its density is 9.0 g/cm³. The formation enthalpy at 0 K is -273 meV per atom. For the energy, the calculation gives -3.838 eV/atom. The crystal system is monoclinic.

***

(19)
Density functional theory data (PBE) for an optimized crystal structure of BaNiAu2.

Geometry as extended XYZ:
```
4
Lattice="0.000 3.661 3.661 3.661 0.000 3.661 3.661 3.661 0.000" Properties=species:S:1:pos:R:3 pbc="T T T"
Ba 0.000 0.000 0.000
Ni 3.661 3.661 3.661
Au 1.831 1.831 1.831
Au 5.492 5.492 5.492
```

Results
Its density is 10.0 g/cm³. The formation enthalpy at 0 K is 88 meV per atom. For the energy, the calculation gives -3.477 eV/atom. The crystal system is cubic.

***

(20)
Density functional theory data (PBE) for an optimized crystal structure of BaNiAu.

Geometry as extended XYZ:
```
3
Lattice="-1.832 1.832 5.452 1.832 -1.832 5.452 1.832 1.832 -5.452" Properties=species:S:1:pos:R:3 pbc="T T T"
Ba 0.000 0.000 0.000
Ni 0.000 0.000 7.935
Au 0.000 0.000 3.119
```

Results
Its density is 8.9 g/cm³. The formation enthalpy at 0 K is -39 meV per atom. For the energy, the calculation gives -3.700 eV/atom. The crystal system is tetragonal.

***

(21)
Density functional theory data (PBE) for an optimized crystal structure of Ba2Ni2Au.

Geometry as extended XYZ:
```
5
Lattice="-1.849 1.849 9.398 1.849 -1.849 9.398 1.849 1.849 -9.398" Properties=species:S:1:pos:R:3 pbc="T T T"
Ba 0.000 0.000 2.217
Ba 0.000 0.000 16.579
Ni 1.849 0.000 4.699
Ni 0.000 1.849 4.699
Au 0.000 0.000 9.398
```

Results
Its density is 7.6 g/cm³. The distance to the lowest polymorph of the same formula comes out at 4.24 kJ per mole of atoms. The formation enthalpy at 0 K is -7 meV per atom. For the energy, the calculation gives -3.744 eV/atom. The crystal system is tetragonal.

***

(22)
Density functional theory data (PBE) for an optimized crystal structure of Ba6NiAu2.

Geometry as extended XYZ:
```
18
Lattice="7.615 0.000 0.000 0.000 8.145 0.000 0.000 0.000 13.898" Properties=species:S:1:pos:R:3 pbc="T T T"
Ba 1.721 1.440 0.000
Ba 1.797 5.377 2.215
Ba 1.797 5.377 11.683
Ba 2.011 1.305 4.734
Ba 2.011 1.305 9.164
Ba 2.087 5.512 6.949
Ba 5.528 2.633 6.949
Ba 5.604 6.840 4.734
Ba 5.604 6.840 9.164
Ba 5.818 2.767 2.215
Ba 5.818 2.767 11.683
Ba 5.895 6.705 0.000
Ni 0.000 4.072 0.000
Ni 3.808 0.000 6.949
Au 0.000 0.000 2.440
Au 0.000 0.000 11.457
Au 3.808 4.072 4.508
Au 3.808 4.072 9.389
```

Results
Its density is 4.9 g/cm³. The formation enthalpy at 0 K is -338 meV per atom. For the energy, the calculation gives -2.991 eV/atom. The crystal system is orthorhombic.

***

(23)
Density functional theory data (PBE) for an optimized crystal structure of BaNiAu2.

Geometry as extended XYZ:
```
4
Lattice="-2.298 2.943 3.825 2.298 -2.943 3.825 2.298 2.943 -3.825" Properties=species:S:1:pos:R:3 pbc="T T T"
Ba 0.000 0.000 0.000
Ni 2.298 0.000 2.634
Au 0.000 0.000 3.535
Au 0.000 2.943 1.455
```

Results
Its density is 9.5 g/cm³. The formation enthalpy at 0 K is -94 meV per atom. For the energy, the calculation gives -3.658 eV/atom. The crystal system is orthorhombic.

***

(24)
Density functional theory data (PBE) for an optimized crystal structure of BaNiAu.

Geometry as extended XYZ:
```
3
Lattice="4.450 0.000 0.000 -2.225 3.854 0.000 0.000 0.000 4.604" Properties=species:S:1:pos:R:3 pbc="T T T"
Ba 0.000 0.000 0.000
Ni 2.225 1.285 2.302
Au 0.000 2.569 2.302
```

Results
Its density is 8.3 g/cm³. The formation enthalpy at 0 K is -304 meV per atom. For the energy, the calculation gives -3.965 eV/atom. The crystal system is hexagonal.

***

(25)
Density functional theory data (PBE) for an optimized crystal structure of BaNiAu2.

Geometry as extended XYZ:
```
4
Lattice="-2.248 2.248 4.484 2.248 -2.248 4.484 2.248 2.248 -4.484" Properties=species:S:1:pos:R:3 pbc="T T T"
Ba 0.000 0.000 0.000
Ni 2.248 0.000 2.242
Au 0.000 0.000 4.484
Au 0.000 2.248 2.242
```

Results
Its density is 10.8 g/cm³. The formation enthalpy at 0 K is 45 meV per atom. For the energy, the calculation gives -3.519 eV/atom. The crystal system is tetragonal.